DFT (PBE-GGA) results for crystalline V2TcPdPb at its relaxed geometry.

```
5
Lattice="4.489 0.000 0.000 0.000 5.237 0.000 0.000 0.000 4.489" Properties=species:S:1:pos:R:3 pbc="T T T"
Pb 0.000 2.618 0.000
Tc 0.000 0.000 0.000
Pd 2.244 2.618 2.244
V 0.000 0.000 2.244
V 2.244 0.000 0.000
```

Summary:
SG = P4/mmm

DFT (PBE-GGA) results for crystalline KSc2Cu at its relaxed geometry.

```
4
Lattice="-2.572 3.393 4.161 -5.910 -0.500 0.515 4.620 -3.748 -0.227" Properties=species:S:1:pos:R:3 pbc="T T T"
Cu -4.241 1.447 2.338
K -1.097 0.546 3.136
Sc 0.000 0.000 0.000
Sc -2.766 -1.401 1.313
```

Summary:
SG = I-4m2
ΔE to the lowest computed polymorph = 0.5399 eV/atom

DFT (PBE-GGA) results for crystalline NaMg2TlCd at its relaxed geometry.

```
5
Lattice="-0.563 3.299 4.134 -0.328 -4.458 3.512 5.280 0.109 0.632" Properties=species:S:1:pos:R:3 pbc="T T T"
Na -0.164 -2.229 1.756
Tl 2.195 -0.525 4.139
Mg 2.640 0.055 0.316
Mg -0.281 1.649 2.067
Cd 0.000 0.000 0.000
```

Summary:
SG = P4/mmm

DFT (PBE-GGA) results for crystalline MgTaNi6 at its relaxed geometry.

```
32
Lattice="-5.370 2.080 -2.631 -0.525 -6.183 1.256 -3.737 2.224 9.387" Properties=species:S:1:pos:R:3 pbc="T T T"
Mg -4.533 -2.459 7.329
Mg -6.967 1.691 5.377
Mg -4.822 -0.936 4.021
Mg -6.678 0.169 8.685
Ni -3.588 -3.023 4.961
Ni -7.363 -0.665 4.335
Ni -3.191 -0.666 5.996
Ni -6.025 1.133 3.007
Ni -4.401 1.397 5.026
Ni -6.154 -2.727 5.305
Ni -3.882 -1.496 1.659
Ni -2.255 -1.224 3.652
Ni -3.469 0.845 2.679
Ni -1.738 -4.124 0.312
Ni -5.508 -1.767 -0.333
Ni -1.331 -1.774 1.331
Ni -4.175 0.032 -1.642
Ni -2.545 0.295 0.357
Ni -4.294 -3.837 0.640
Ni -5.750 -0.384 6.353
Ni -4.137 -0.103 8.371
Ni -5.346 1.960 7.401
Ni -0.934 0.556 2.347
Ni -5.218 -3.287 2.961
Ni -6.432 -1.217 1.988
Ni -2.802 1.668 7.040
Ni -7.099 -2.165 7.680
Ni -8.308 -0.102 6.710
Ta -2.665 -3.571 2.636
Ta -5.099 0.580 0.683
Ta -1.888 1.124 4.743
Ta -3.717 2.212 9.338
```

Summary:
SG = Cmmm

DFT (PBE-GGA) results for crystalline Na10Tl4In at its relaxed geometry.

```
15
Lattice="7.018 0.000 3.169 3.509 8.370 1.584 0.064 0.000 9.213" Properties=species:S:1:pos:R:3 pbc="T T T"
Na 3.541 4.185 6.191
Na 5.678 2.498 10.834
Na 0.718 0.833 3.065
Na 6.347 7.537 9.310
Na 8.437 5.873 4.724
Na 4.912 5.873 3.132
Na 7.050 4.185 7.775
Na 2.153 2.498 9.242
Na 4.244 0.833 4.657
Na 9.872 7.537 10.901
Tl 5.639 6.696 6.222
Tl 7.771 5.021 10.856
Tl 2.820 3.350 3.110
Tl 4.951 1.674 7.745
In 0.000 0.000 0.000
```

Summary:
SG = I4/m

DFT (PBE-GGA) results for crystalline YNpBiS2 at its relaxed geometry.

```
5
Lattice="-0.261 -3.757 2.337 4.301 0.333 1.017 -3.619 5.300 3.912" Properties=species:S:1:pos:R:3 pbc="T T T"
Y -0.450 1.009 1.572
Np 0.865 0.881 5.715
Bi -1.585 3.557 5.541
S -0.934 -0.076 3.976
S 1.348 1.969 3.316
```

Summary:
SG = I4mm
Uncorrected formation energy = -0.992 eV per atom

DFT (PBE-GGA) results for crystalline Ti3HgAs at its relaxed geometry.

```
5
Lattice="4.700 0.000 0.000 0.000 4.700 0.000 0.000 0.000 4.700" Properties=species:S:1:pos:R:3 pbc="T T T"
As 0.000 0.000 0.000
Hg 2.350 2.350 2.350
Ti 0.000 2.350 0.000
Ti 0.000 0.000 2.350
Ti 2.350 0.000 0.000
```

Summary:
SG = Pm-3m
ΔE to the lowest computed polymorph = 0.0000 eV/atom

DFT (PBE-GGA) results for crystalline Ga5Co6Cu at its relaxed geometry.

```
12
Lattice="3.889 0.015 -1.134 -0.789 5.063 -2.637 -0.063 0.368 7.022" Properties=species:S:1:pos:R:3 pbc="T T T"
Co 2.734 3.184 2.183
Co 3.124 0.682 3.486
Co 1.358 3.771 -2.527
Co 1.742 1.308 -1.244
Co -0.087 4.764 -0.235
Co 0.302 2.263 1.067
Cu 0.000 0.000 0.000
Ga 2.420 0.938 1.077
Ga 0.987 1.931 3.412
Ga -0.395 2.532 -1.319
Ga 2.049 3.516 -0.161
Ga 0.616 4.508 2.174
```

Summary:
SG = Immm

DFT (PBE-GGA) results for crystalline SrZnPb2 at its relaxed geometry.

```
8
Lattice="-1.026 -4.973 -1.150 4.881 -1.300 1.263 -0.938 -4.727 9.490" Properties=species:S:1:pos:R:3 pbc="T T T"
Pb -0.188 -4.077 1.898
Pb 2.610 -2.991 2.931
Pb 1.111 -5.996 7.255
Pb 2.301 -8.936 7.121
Sr 0.000 0.000 0.000
Sr -0.018 -6.418 4.198
Zn 1.927 -3.136 0.056
Zn 2.935 -4.582 5.405
```

Summary:
SG = I-42d

DFT (PBE-GGA) results for crystalline LiInP2S6 at its relaxed geometry.

```
20
Lattice="-3.693 -0.916 4.174 6.607 -3.348 6.484 -0.541 9.375 2.953" Properties=species:S:1:pos:R:3 pbc="T T T"
Li 5.474 -3.205 7.424
Li -3.101 8.316 6.187
In 0.631 5.416 5.032
In 1.741 -0.305 8.579
P 4.586 3.381 7.776
P 0.725 0.244 4.288
P -2.213 1.730 5.835
P 1.647 4.867 9.324
S 5.730 4.102 9.284
S -0.144 -0.965 2.915
S -3.357 1.008 4.327
S 2.517 6.076 10.696
S 4.376 1.428 7.748
S 2.409 -0.427 5.044
S -2.003 3.682 5.863
S -0.036 5.537 8.567
S 1.660 2.803 9.975
S -0.409 0.560 6.081
S 0.713 2.307 3.637
S 2.782 4.550 7.530
```

Summary:
SG = C2/c
Uncorrected formation energy = -0.368 eV per atom

DFT (PBE-GGA) results for crystalline CaTb2Er at its relaxed geometry.

```
8
Lattice="3.433 0.000 -0.562 0.000 6.434 0.001 0.214 0.857 12.085" Properties=species:S:1:pos:R:3 pbc="T T T"
Ca 1.926 2.458 11.774
Ca 1.722 4.833 -0.250
Tb 0.496 6.425 3.031
Tb 1.405 4.131 8.589
Tb 2.243 3.159 2.935
Tb 3.152 0.866 8.493
Er 0.972 2.029 5.940
Er 2.676 5.262 5.585
```

Summary:
SG = C2/m
ΔE to the lowest computed polymorph = 0.0612 eV/atom

DFT (PBE-GGA) results for crystalline TcRh4 at its relaxed geometry.

```
5
Lattice="4.770 0.000 0.000 -2.385 3.717 -2.385 0.000 0.000 4.770" Properties=species:S:1:pos:R:3 pbc="T T T"
Tc 0.000 0.000 0.000
Rh 0.000 1.859 2.385
Rh 2.385 1.859 0.000
Rh 2.385 1.159 2.385
Rh 0.000 2.558 0.000
```

Summary:
SG = I4/mmm
ΔE to the lowest computed polymorph = 0.9692 eV/atom

DFT (PBE-GGA) results for crystalline NaAc2Au6 at its relaxed geometry.

```
9
Lattice="3.844 0.000 0.000 0.000 7.225 -4.171 0.000 0.000 8.342" Properties=species:S:1:pos:R:3 pbc="T T T"
Na 0.000 0.000 8.342
Ac 0.000 2.408 4.171
Ac 3.844 4.816 0.000
Au 1.922 2.392 1.381
Au 1.922 4.833 2.790
Au 1.922 0.000 5.581
Au 1.922 4.833 5.552
Au 1.922 2.392 -1.381
Au 1.922 7.225 -1.410
```

Summary:
SG = P6/mmm
ΔE to the lowest computed polymorph = 0.0000 eV/atom

DFT (PBE-GGA) results for crystalline LiZnOsW at its relaxed geometry.

```
4
Lattice="-3.973 -0.595 1.528 -1.526 -3.984 0.527 -0.567 -1.578 3.958" Properties=species:S:1:pos:R:3 pbc="T T T"
Zn 0.000 0.000 0.000
Os -4.549 -4.617 4.510
W -3.033 -3.078 3.007
Li -1.516 -1.539 1.503
```

Summary:
SG = F-43m

DFT (PBE-GGA) results for crystalline YAl2Ir2 at its relaxed geometry.

```
10
Lattice="-4.613 -5.203 3.008 5.999 -3.768 2.684 -0.134 1.551 2.477" Properties=species:S:1:pos:R:3 pbc="T T T"
Y 0.000 0.000 0.000
Y 0.693 -4.485 2.846
Ir 3.486 -5.029 3.337
Ir -0.028 -6.872 4.301
Ir -2.099 -3.941 2.354
Ir 1.415 -2.098 1.390
Al 3.130 -2.387 3.392
Al 2.113 -5.798 5.472
Al -1.878 -5.032 4.777
Al -0.860 -1.621 2.696
```

Summary:
SG = P4/mbm
ΔE to the lowest computed polymorph = 0.1439 eV/atom

DFT (PBE-GGA) results for crystalline Ag3W at its relaxed geometry.

```
8
Lattice="0.068 4.501 5.002 -5.652 3.531 0.933 1.615 -6.492 -0.723" Properties=species:S:1:pos:R:3 pbc="T T T"
Ag 0.842 -0.996 2.139
Ag -0.725 1.043 0.771
Ag -4.859 6.988 5.164
Ag -0.554 1.012 3.623
Ag -3.414 0.527 1.589
Ag -2.018 -1.481 0.105
W -2.211 3.180 2.350
W -3.373 4.851 3.585
```

Summary:
SG = I4/mmm
ΔE to the lowest computed polymorph = 0.2545 eV/atom

DFT (PBE-GGA) results for crystalline Ho3Tm2Tl6 at its relaxed geometry.

```
11
Lattice="-3.088 -2.738 2.230 2.727 -3.731 -0.805 7.250 5.650 12.044" Properties=species:S:1:pos:R:3 pbc="T T T"
Ho 0.000 0.000 0.000
Ho 4.056 -1.787 8.356
Ho 2.834 0.968 5.113
Tm 6.323 2.161 11.409
Tm 0.566 -2.979 2.059
Tl 3.046 -1.290 2.633
Tl 0.139 -0.794 4.151
Tl 3.843 0.472 10.835
Tl 6.751 -0.025 9.318
Tl 2.599 -2.285 5.727
Tl 4.290 1.466 7.741
```

Summary:
SG = I4/mmm

DFT (PBE-GGA) results for crystalline Sc5Pa3N12 at its relaxed geometry.

```
80
Lattice="11.211 0.000 0.000 -3.737 10.570 0.000 -3.737 -5.285 9.154" Properties=species:S:1:pos:R:3 pbc="T T T"
Pa 6.540 3.303 1.144
Pa 6.540 7.267 1.144
Pa -0.934 4.624 5.721
Pa 0.934 -0.661 3.433
Pa 8.408 0.000 2.288
Pa 0.934 5.285 2.288
Pa 2.803 0.000 6.865
Pa -4.671 5.285 6.865
Pa 2.803 5.946 5.721
Pa 4.671 0.661 3.433
Pa -2.803 -1.982 8.010
Pa -2.803 1.982 8.010
Sc -0.934 2.643 2.288
Sc -1.869 5.285 0.000
Sc 0.000 0.000 0.000
Sc 2.803 1.982 1.144
Sc 3.737 -2.643 4.577
Sc 3.737 5.285 0.000
Sc -2.803 5.946 3.433
Sc 4.671 -3.303 8.010
Sc 4.671 4.624 3.433
Sc 0.934 -2.643 6.865
Sc 2.803 7.928 2.288
Sc 1.869 2.643 4.577
Sc 5.606 0.000 0.000
Sc -1.869 -2.643 4.577
Sc -0.934 0.661 5.721
Sc -0.934 8.588 1.144
Sc -3.737 2.643 4.577
Sc 6.540 -0.661 5.721
Sc 0.934 3.303 8.010
Sc 4.671 2.643 6.865
N 7.454 1.134 0.468
N 0.020 3.614 3.829
N 8.243 2.434 2.506
N 4.837 1.689 1.216
N 1.416 4.108 6.180
N 7.810 5.223 1.603
N -0.769 6.030 3.722
N -2.968 8.881 1.216
N 0.452 6.462 6.180
N 5.270 5.347 1.603
N 5.625 2.804 3.361
N 5.625 9.437 0.468
N -3.285 4.763 5.045
N 2.205 3.928 0.855
N -3.757 7.766 3.361
N 1.888 -1.671 5.325
N -0.452 0.655 2.071
N 2.205 6.704 0.748
N 4.837 8.136 2.506
N -0.336 3.866 0.748
N -2.321 5.941 7.083
N 2.637 4.540 3.722
N 5.153 5.807 5.045
N 4.073 -1.357 8.299
N 1.100 0.745 5.432
N -1.416 -0.522 4.109
N -0.336 6.642 0.855
N -1.100 -2.851 6.648
N 6.058 -0.655 2.071
N 4.073 1.419 8.406
N 1.532 -1.419 8.406
N 1.849 6.956 3.829
N 4.190 4.630 7.083
N 7.494 -2.481 5.793
N 7.022 0.522 4.109
N -1.888 -4.151 8.686
N 1.532 1.357 8.299
N 3.285 -1.177 2.974
N -1.532 -0.062 7.551
N -1.888 2.481 5.793
N 6.705 -3.596 7.938
N 4.506 -0.745 5.432
N -1.100 3.596 7.938
N -4.073 0.062 7.551
N 2.321 1.177 2.974
N -4.506 2.851 6.648
N 3.717 1.671 5.325
N -3.717 4.151 8.686
```

Summary:
SG = Ia-3d
Uncorrected formation energy = -1.028 eV per atom

DFT (PBE-GGA) results for crystalline LiCd2GaAu2 at its relaxed geometry.

```
12
Lattice="4.611 0.000 0.000 0.000 5.840 0.000 0.000 0.000 8.402" Properties=species:S:1:pos:R:3 pbc="T T T"
Li 0.000 0.029 4.183
Li 0.000 2.949 4.219
Cd 2.306 0.013 0.206
Cd 0.000 1.629 1.375
Cd 2.306 2.933 8.196
Cd 0.000 4.550 7.027
Ga 2.306 1.349 5.533
Ga 2.306 4.270 2.869
Au 0.000 1.598 6.741
Au 2.306 1.488 2.983
Au 0.000 4.518 1.661
Au 2.306 4.408 5.419
```

Summary:
SG = Pmc2_1

In the order shown, the computed final energy values come out to -0.47604; -0.27464; -0.09995; -0.46191; -0.11983; -0.53657; -0.41726; -0.39515; -0.19637; -0.32281; -0.28191; -0.51726; -0.28500; -0.49867; -0.52131; -0.34788; -0.24714; -0.66376; -0.18465 Ry/atom.